Here is a relaxed structure of CoGe2PF from Alexandria via LeMat-Bulk. Energies are from GGA+U.

```
5
Lattice="4.410 0.000 0.000 0.000 4.410 0.000 0.000 0.000 4.554" Properties=species:S:1:pos:R:3 pbc="T T T"
Co 0.000 0.000 0.000
Ge 0.000 2.205 2.277
Ge 2.205 0.000 2.277
P 2.205 2.205 0.000
F 2.205 2.205 2.277
```

Properties
Fermi-level density of states ... 2.7 states/eV/f.u.
Total DFT energy (no corrections) ... -3.8207 eV per atom